Computed, not measured: an optimized crystal structure of GeP2Os at the GGA-PBE level of DFT.

Properties
DFT formation energy (meV/atom): 21
Magnetic moment (μB/cell): 0.000
Density (g/cm3): 6.9
E_tot (eV/cell): -53.168
DOS(E_F) (states/eV/cell): 1.94

a b c (Å): 6.4885 6.4885 6.4885
angles (deg): 130.04 130.04 73.34
Fractional positions:
Ge: 0.0000 0.0000 0.0000
Ge: 0.7500 0.2500 0.5000
P: 0.1460 0.6250 0.0210
P: 0.3750 0.3960 0.5210
P: 0.6040 0.1250 0.9790
P: 0.8750 0.8540 0.4790
Os: 0.2500 0.7500 0.5000
Os: 0.5000 0.5000 0.0000